[1]
Compound: BaYCuSeS2
Source: OQMD via LeMat-Bulk
Functional: PBE-GGA
Structure: optimized geometry

Cell: 7.2266 7.2266 10.5490 Å, 90.00 90.00 147.32°
Positions (direct):
Ba: 0.7568 0.2432 0.2500
Ba: 0.2432 0.7568 0.7500
Cu: 0.4676 0.5324 0.2500
Cu: 0.5324 0.4676 0.7500
S: 0.3731 0.6269 0.0670
S: 0.3731 0.6269 0.4330
S: 0.6269 0.3731 0.5670
S: 0.6269 0.3731 0.9330
Se: 0.0750 0.9250 0.2500
Se: 0.9250 0.0750 0.7500
Y: 0.0000 0.0000 0.0000
Y: 0.0000 0.0000 0.5000

Its spin magnetization is 0.010 μB per cell. The value obtained for the total DFT energy (no corrections) is -67.5 eV for the cell shown.


[2]
Compound: SmHg
Source: OQMD via LeMat-Bulk
Functional: PBE-GGA
Structure: optimized geometry

Cell: 3.6019 3.6019 4.9380 Å, 90.00 90.00 120.00°
Positions (direct):
Hg: 0.6667 0.3333 0.7500
Sm: 0.3333 0.6667 0.2500

As for the formation energy: -288 meV per atom. Its spin magnetization is 0.019 μB per cell. The value obtained for the total DFT energy (no corrections) is -5.6 eV for the cell shown.